[1]
Density functional theory data (PBE) for a geometry-optimized AlCd structure.

Structure (CIF):
```
data_AlCd
_symmetry_space_group_name_H-M 'P 1'
_symmetry_Int_Tables_number 1
_symmetry_space_group_name_Hall 'P 1'
_cell_length_a 6.791
_cell_length_b 6.791
_cell_length_c 6.107
_cell_angle_alpha 75.40
_cell_angle_beta 75.40
_cell_angle_gamma 26.06
loop_
_atom_site_label
_atom_site_fract_x
_atom_site_fract_y
_atom_site_fract_z
Cd1 0.027 0.027 0.450
Cd2 0.702 0.702 0.109
Cd3 0.022 0.022 0.945
Al1 0.354 0.354 0.762
Al2 0.357 0.357 0.293
Al3 0.704 0.704 0.608
```

Computed properties:
energy of formation from the pure elements	10.6	kJ/mol of atoms
total magnetic moment	0.00	μB per cell
energy	-2.219	eV/atom


[2]
Density functional theory data (PBE) for a geometry-optimized AlCd structure.

Structure (CIF):
```
data_AlCd
_symmetry_space_group_name_H-M 'P 1'
_symmetry_Int_Tables_number 1
_symmetry_space_group_name_Hall 'P 1'
_cell_length_a 7.721
_cell_length_b 7.721
_cell_length_c 7.721
_cell_angle_alpha 90.00
_cell_angle_beta 90.00
_cell_angle_gamma 90.00
loop_
_atom_site_label
_atom_site_fract_x
_atom_site_fract_y
_atom_site_fract_z
Al1 0.250 0.000 0.500
Al2 0.500 0.750 0.000
Al3 0.000 0.500 0.250
Al4 0.750 0.000 0.500
Al5 0.500 0.250 0.000
Al6 0.000 0.500 0.750
Cd1 0.500 0.000 0.750
Cd2 0.000 0.250 0.500
Cd3 0.250 0.500 0.000
Cd4 0.000 0.750 0.500
Cd5 0.750 0.500 0.000
Cd6 0.500 0.000 0.250
```

Computed properties:
energy of formation from the pure elements	68.5	kJ/mol of atoms
total magnetic moment	0.00	μB per cell
energy	-1.619	eV/atom


[3]
Density functional theory data (PBE) for a geometry-optimized Al3Cd structure.

Structure (CIF):
```
data_Al3Cd
_symmetry_space_group_name_H-M 'P 1'
_symmetry_Int_Tables_number 1
_symmetry_space_group_name_Hall 'P 1'
_cell_length_a 4.202
_cell_length_b 4.202
_cell_length_c 4.202
_cell_angle_alpha 90.00
_cell_angle_beta 90.00
_cell_angle_gamma 90.00
loop_
_atom_site_label
_atom_site_fract_x
_atom_site_fract_y
_atom_site_fract_z
Al1 0.000 0.500 0.500
Al2 0.500 0.000 0.500
Al3 0.500 0.500 0.000
Cd1 0.000 0.000 0.000
```

Computed properties:
energy of formation from the pure elements	12.8	kJ/mol of atoms
total magnetic moment	0.00	μB per cell
energy	-2.903	eV/atom


[4]
Density functional theory data (PBE) for a geometry-optimized AlCd structure.

Structure (CIF):
```
data_AlCd
_symmetry_space_group_name_H-M 'P 1'
_symmetry_Int_Tables_number 1
_symmetry_space_group_name_Hall 'P 1'
_cell_length_a 5.509
_cell_length_b 5.509
_cell_length_c 5.509
_cell_angle_alpha 90.00
_cell_angle_beta 90.00
_cell_angle_gamma 90.00
loop_
_atom_site_label
_atom_site_fract_x
_atom_site_fract_y
_atom_site_fract_z
Cd1 0.906 0.594 0.406
Cd2 0.406 0.906 0.594
Cd3 0.094 0.094 0.094
Cd4 0.594 0.406 0.906
Al1 0.400 0.400 0.400
Al2 0.100 0.600 0.900
Al3 0.600 0.900 0.100
Al4 0.900 0.100 0.600
```

Computed properties:
energy of formation from the pure elements	22.0	kJ/mol of atoms
total magnetic moment	0.00	μB per cell
energy	-2.100	eV/atom